# 1
Here is an optimized crystal structure of Pu2HfSe4 from Alexandria via LeMat-Bulk. Energies are from PBE.

Lattice parameters (Å, degrees): 3.797 13.664 13.829 90.00 90.00 90.00
Space group Cmcm (No. 63)
One atom of each set of equivalent atoms:
Pu 0.000 0.133 0.076 (multiplicity 8)
Hf 0.000 0.366 0.250 (multiplicity 4)
Se 0.000 0.011 0.250 (multiplicity 4)
Se 0.000 0.213 0.628 (multiplicity 8)
Se 0.000 0.500 0.000 (multiplicity 4)

Results
E_form (uncorrected) = -1.2706 eV per atom
total energy = -8.778 eV/atom
crystal system = orthorhombic

***

# 2
Here is an optimized crystal structure of PuHf2Se6 from Alexandria via LeMat-Bulk. Energies are from PBE.

Lattice parameters (Å, degrees): 13.238 5.265 9.201 90.00 128.95 90.00
Space group C2/m (No. 12)
One atom of each set of equivalent atoms:
Pu 0.000 0.000 0.000 (multiplicity 2)
Hf 0.171 0.000 0.585 (multiplicity 4)
Se 0.061 0.000 0.739 (multiplicity 4)
Se 0.124 0.500 0.055 (multiplicity 4)
Se 0.226 0.500 0.600 (multiplicity 4)

Results
E_form (uncorrected) = -1.1467 eV per atom
total energy = -7.274 eV/atom
crystal system = monoclinic

***

# 3
Here is an optimized crystal structure of Pu2Hf3Se8 from Alexandria via LeMat-Bulk. Energies are from PBE.

Lattice parameters (Å, degrees): 14.396 7.680 6.680 90.00 107.94 90.00
Space group C2/m (No. 12)
One atom of each set of equivalent atoms:
Pu 0.248 0.000 0.330 (multiplicity 4)
Hf 0.000 0.000 0.500 (multiplicity 2)
Hf 0.000 0.259 0.000 (multiplicity 4)
Se 0.110 0.249 0.409 (multiplicity 8)
Se 0.112 0.000 0.903 (multiplicity 4)
Se 0.114 0.500 0.923 (multiplicity 4)

Results
E_form (uncorrected) = -1.3243 eV per atom
total energy = -7.970 eV/atom
crystal system = monoclinic